Entry 1:
TiNb4W2: optimized geometry, GGA-PBE.

extended XYZ file:
```
7
Lattice="6.3239 0.0000 0.0000 3.1619 4.5615 0.0000 3.1619 0.0000 4.5615" Properties=species:S:1:pos:R:3 pbc="T T T"
Nb 7.9048 2.2808 4.5615
Nb 7.9048 2.2808 0.0001
W 6.3239 2.2808 2.2808
Nb 4.7429 4.5615 2.2808
W 3.1619 2.2808 2.2808
Nb 4.7429 0.0001 2.2808
Ti 0.0000 0.0000 0.0000
```

## Properties
ρ = 9.93 g/cm3
calculated volume = 131.6 Å³ per cell
energy of formation from the pure elements = 0.3317 eV/atom
space-group type = I4/mmm, No. 139
size of the total moment = 0.00 Bohr magnetons per cell

***

Entry 2:
Ge2TeH: optimized geometry, GGA-PBE.

extended XYZ file:
```
8
Lattice="-2.8677 -4.0012 1.3623 1.9440 -2.7104 -3.8684 4.4509 -5.5200 2.7322" Properties=species:S:1:pos:R:3 pbc="T T T"
Ge 2.2399 -9.6083 0.4334
Te 0.5607 -6.4385 1.4207
H 2.9666 -5.7931 -1.1946
Ge 3.2818 -7.0612 0.5323
Ge -0.0088 -3.6226 0.8477
Ge 1.5415 -4.1710 -1.3612
Te 0.0000 0.0000 0.0000
H -0.4618 -3.3558 -1.2530
```

## Properties
ρ = 5.21 g/cm3
excess energy over the best structure of this formula in the dataset = 0.000 eV/atom
calculated volume = 174.4 Å³ per cell
space-group type = I-42d, No. 122
size of the total moment = 0.00 Bohr magnetons per cell

***

Entry 3:
As2IrI: optimized geometry, GGA-PBE.

extended XYZ file:
```
8
Lattice="6.6317 0.0000 0.0000 0.0000 6.6317 0.0000 3.3158 3.3158 5.3405" Properties=species:S:1:pos:R:3 pbc="T T T"
Ir 6.6317 3.3158 2.6703
I 3.3158 6.6317 2.6703
As 8.2896 8.9647 4.0054
I 3.3158 3.3158 0.0000
As 4.9738 4.2987 4.0054
Ir 0.0000 0.0000 0.0000
As 5.6488 1.6579 1.3351
As 0.9829 4.9738 1.3351
```

## Properties
ρ = 6.63 g/cm3
excess energy over the best structure of this formula in the dataset = 0.000 eV/atom
calculated volume = 234.9 Å³ per cell
space-group type = I-42d, No. 122
E_form (uncorrected) = 0.1567 eV/atom
size of the total moment = 0.00 Bohr magnetons per cell

***

> Number 1 is which compound?

TiNb4W2

***

> Number 2 is which compound?

Ge2TeH

***

> What is the formula in the second record?

Ge2TeH